1.
This record from Alexandria describes crystalline ZnGa12Ni7 at its relaxed geometry. The functional is PBE-GGA.

Lattice parameters (Å, degrees): 8.5403 8.5403 8.5403 116.41 116.41 116.41
With the nearest neighbours (Å) after each atom.
Atoms (fractional coordinates):
Zn 0.0000 0.0000 0.0000  8 Ni 2.46-2.50
Ga 0.0878 0.6957 0.2423  3 Ni 2.39-2.53
Ga 0.1542 0.3899 0.4749  5 Ni 2.43-2.58, 1 Ga 2.68
Ga 0.2423 0.0878 0.6957  3 Ni 2.39-2.53
Ga 0.3043 0.7577 0.9122  3 Ni 2.39-2.53
Ga 0.3899 0.4749 0.1542  5 Ni 2.43-2.58, 1 Ga 2.68
Ga 0.4749 0.1542 0.3899  5 Ni 2.43-2.58, 1 Ga 2.68
Ga 0.5251 0.8458 0.6101  5 Ni 2.43-2.58, 1 Ga 2.68
Ga 0.6101 0.5251 0.8458  5 Ni 2.43-2.58, 1 Ga 2.68
Ga 0.6957 0.2423 0.0878  3 Ni 2.39-2.53
Ga 0.7577 0.9122 0.3043  3 Ni 2.39-2.53
Ga 0.8458 0.6101 0.5251  5 Ni 2.43-2.58, 1 Ga 2.68
Ga 0.9122 0.3043 0.7577  3 Ni 2.39-2.53
Ni 0.0206 0.3376 0.1070  7 Ga 2.39-2.58, 1 Zn 2.50
Ni 0.1070 0.0206 0.3376  7 Ga 2.39-2.58, 1 Zn 2.50
Ni 0.3376 0.1070 0.0206  7 Ga 2.39-2.58, 1 Zn 2.50
Ni 0.5000 0.5000 0.5000  2 Zn 2.46, 6 Ga 2.54
Ni 0.6624 0.8930 0.9794  7 Ga 2.39-2.58, 1 Zn 2.50
Ni 0.8930 0.9794 0.6624  7 Ga 2.39-2.58, 1 Zn 2.50
Ni 0.9794 0.6624 0.8930  7 Ga 2.39-2.58, 1 Zn 2.50

The crystal system is trigonal. Its space group is R-3. The value obtained for the density of states at the Fermi level is 0.34 states/eV per atom. Its formation energy is -0.2940 eV/atom. The value obtained for the calculated volume is 299.2 Å³/cell.

2.
This record from Alexandria describes crystalline ScSiP2 at its relaxed geometry. The functional is PBE-GGA.

Lattice parameters (Å, degrees): 4.8719 4.8719 4.8719 139.31 120.20 74.85
With the nearest neighbours (Å) after each atom.
Atoms (fractional coordinates):
Sc 0.0000 0.0000 0.0000  8 P 2.79-2.93, 4 Si 2.96
Si 0.5000 0.5000 0.0000  4 P 2.36
P 0.2870 0.7870 0.5000  2 Si 2.36
P 0.7130 0.2130 0.5000  2 Si 2.36

The value obtained for the raw formation energy is -0.387 eV/atom. The crystal system is orthorhombic. Its space group is Immm. The value obtained for the density of states at the Fermi level is 0.55 states/eV per atom. The value obtained for the calculated volume is 63.7 Å³/cell.

3.
This record from Alexandria describes crystalline RbCrHgTe2 at its relaxed geometry. The functional is PBE-GGA.

Lattice parameters (Å, degrees): 7.5239 7.5239 9.5321 90.00 90.00 129.25
With the nearest neighbours (Å) after each atom.
Atoms (fractional coordinates):
Rb 0.2500 0.7500 0.8118  6 Te 3.81-3.90, 4 Cr 4.17
Rb 0.7500 0.2500 0.1882  6 Te 3.81-3.90, 4 Cr 4.17
Cr 0.2500 0.2500 0.0000  4 Te 2.62
Cr 0.7500 0.7500 0.0000  4 Te 2.62
Hg 0.0000 0.0000 0.5000  2 Hg 3.22, 2 Te 3.51
Hg 0.5000 0.5000 0.5000  2 Hg 3.22, 2 Te 3.51
Te 0.1015 0.8985 0.1612  2 Cr 2.62
Te 0.3985 0.6015 0.1612  2 Cr 2.62
Te 0.6015 0.3985 0.8388  2 Cr 2.62
Te 0.8985 0.1015 0.8388  2 Cr 2.62

The value obtained for the raw formation energy is -0.329 eV/atom. The crystal system is orthorhombic. Its space group is Cmme. The value obtained for the density of states at the Fermi level is 0.41 states/eV per atom. The value obtained for the calculated volume is 417.9 Å³/cell.